ReSnS2Br | PBE-GGA | relaxed

Computed properties:
SG = P4/mmm, No. 123
ΔE_f (raw) = 1.31 eV/atom

Geometry as extended XYZ:
```
5
Lattice="4.879 0.000 0.000 0.000 5.792 0.000 0.000 0.000 4.879" Properties=species:S:1:pos:R:3 pbc="T T T"
Re 0.000 2.896 0.000
S 0.000 0.000 2.440
S 2.440 0.000 0.000
Sn 0.000 0.000 0.000
Br 2.440 2.896 2.440
```


ReSbBr | PBE-GGA | relaxed

Computed properties:
SG = Fmm2, No. 42
ΔE_f (raw) = 0.71 eV/atom
polymorph energy (0 for the lowest one) = 213 meV per atom

Geometry as extended XYZ:
```
3
Lattice="-0.437 -1.146 8.450 1.770 -3.209 7.325 0.707 2.827 1.379" Properties=species:S:1:pos:R:3 pbc="T T T"
Re 0.920 0.383 6.279
Br 1.311 -4.109 15.284
Sb 1.141 -2.156 11.367
```